No. 1
Compound: CsMg6Cd
Source: Alexandria via LeMat-Bulk
Functional: PBE
Structure: optimized geometry

Calculated values
**Total magnetization**: 0.00 μB/f.u.
**Theoretical density**: 2.3 g/cm³
**Formation energy**: 0.15 eV per atom
**Symmetry**: Amm2, No. 38
**Distance to the lowest polymorph of the same formula**: 0.009 eV per atom

Lattice parameters (Å, degrees): 9.8123 9.8123 4.8953 90.00 90.00 142.68
Positions (direct):
Cs1 0.2188 0.7812 0.0000
Mg1 0.1790 0.3170 0.0000
Mg2 0.6830 0.8210 0.0000
Mg3 0.5771 0.4229 0.0000
Mg4 0.2765 0.2042 0.5000
Mg5 0.7958 0.7235 0.5000
Mg6 0.8780 0.1220 0.5000
Cd1 0.3918 0.6082 0.5000

***

No. 2
Compound: CaCd2Re
Source: Alexandria via LeMat-Bulk
Functional: PBE
Structure: optimized geometry

Calculated values
**Total magnetization**: 1.14 μB/f.u.
**Theoretical density**: 8.8 g/cm³
**Formation energy**: 0.69 eV per atom
**Symmetry**: F-43m, No. 216
**Distance to the lowest polymorph of the same formula**: 0.283 eV per atom

Lattice parameters (Å, degrees): 4.9356 4.9356 4.9356 60.00 60.00 60.00
Each line ends with the local moment (μB).
Positions (direct):
Re1 0.7500 0.7500 0.7500  1.00
Ca1 0.5000 0.5000 0.5000  0.02
Cd1 0.0000 0.0000 0.0000  -0.02
Cd2 0.2500 0.2500 0.2500  -0.01

***

No. 3
Compound: CoAgAs2
Source: Alexandria via LeMat-Bulk
Functional: PBE
Structure: optimized geometry

Calculated values
**Total magnetization**: 0.00 μB/f.u.
**Theoretical density**: 6.1 g/cm³
**Formation energy**: 0.21 eV per atom
**Symmetry**: I-42d, No. 122
**Distance to the lowest polymorph of the same formula**: 0.186 eV per atom

Lattice parameters (Å, degrees): 5.6843 5.6843 6.6687 64.77 64.77 90.00
Positions (direct):
As1 0.5657 0.1250 0.2500
As2 0.1843 0.6250 0.2500
As3 0.3750 0.4343 0.7500
As4 0.8750 0.8157 0.7500
Co1 0.5000 0.5000 0.0000
Co2 0.2500 0.7500 0.5000
Ag1 0.0000 0.0000 0.0000
Ag2 0.7500 0.2500 0.5000

***

No. 4
Compound: GdHoRu2
Source: Alexandria via LeMat-Bulk
Functional: PBE
Structure: optimized geometry

Calculated values
**Total magnetization**: 6.88 μB/f.u.
**Theoretical density**: 11.0 g/cm³
**Formation energy**: -0.30 eV per atom
**Symmetry**: P4/mmm, No. 123

Lattice parameters (Å, degrees): 3.4055 3.4055 6.8160 90.00 90.00 90.00
Each line ends with the local moment (μB).
Positions (direct):
Ru1 0.0000 0.0000 0.7475  -0.12
Ru2 0.0000 0.0000 0.2525  -0.12
Gd1 0.5000 0.5000 0.0000  7.00
Ho1 0.5000 0.5000 0.5000  0.02

***

No. 5
Compound: Mg2TaSe
Source: Alexandria via LeMat-Bulk
Functional: PBE
Structure: optimized geometry

Calculated values
**Total magnetization**: 0.00 μB/f.u.
**Theoretical density**: 6.5 g/cm³
**Formation energy from raw total energies**: 0.02 eV per atom
**Symmetry**: Cmmm, No. 65

Lattice parameters (Å, degrees): 3.0309 3.0309 8.5804 90.00 90.00 94.55
Positions (direct):
Mg1 0.0000 0.0000 0.0046
Mg2 0.0000 0.0000 0.4954
Se1 0.5000 0.5000 0.2500
Ta1 0.5000 0.5000 0.7500

***

No. 6
Compound: YPSe2
Source: Alexandria via LeMat-Bulk
Functional: PBE
Structure: optimized geometry

Calculated values
**Total magnetization**: 0.00 μB/f.u.
**Theoretical density**: 4.5 g/cm³
**Formation energy from raw total energies**: -0.83 eV per atom
**Symmetry**: Cm, No. 8

Lattice parameters (Å, degrees): 6.8314 6.8314 4.1064 86.99 86.99 32.44
Positions (direct):
Y1 0.4986 0.4986 0.4753
P1 0.7229 0.7229 0.3682
Se1 0.0041 0.0041 0.9762
Se2 0.2744 0.2744 0.6803

***

Which of these has the highest total magnetization?
GdHoRu2

***

theoretical density of number 1 (CsMg6Cd)?
2.3 g/cm³